AlTlO2F, optimized geometry, DFT PBE; energy relative to the elements, uncorrected = -0.4400 eV/atom; electronic total energy = -20.10 eV per cell; density of states at the Fermi level = 0.591 states/eV per atom; magnetization = 0.661 μB/f.u.
1.0
4.275 0.000 0.000
0.000 4.275 0.000
0.000 0.000 4.441
Tl Al O F
1 1 2 1
Cartesian
0.000 0.000 0.000
2.137 2.137 2.220
0.000 2.137 0.000
2.137 0.000 0.000
0.000 0.000 2.220